A plane-wave DFT calculation with PBE was carried out for RbInNi2 after structural relaxation.

CIF file:
```
data_RbInNi2
_cell_length_a 5.010
_cell_length_b 5.010
_cell_length_c 17.585
_cell_angle_alpha 90.00
_cell_angle_beta 90.00
_cell_angle_gamma 90.00
_symmetry_space_group_name_H-M 'I 41/a m d'
_symmetry_Int_Tables_number 141
loop_
_symmetry_equiv_pos_as_xyz
'x,y,z'
'-x,-y,-z'
'-y+1/4,x+3/4,z+1/4'
'y+1/4,-x+3/4,-z+1/4'
'-x+1/2,-y,z+1/2'
'x+1/2,y,-z+1/2'
'y+1/4,-x+1/4,z+3/4'
'-y+1/4,x+1/4,-z+3/4'
'x,-y,-z'
'-x,y,z'
'-y+1/4,-x+1/4,-z+3/4'
'y+1/4,x+1/4,z+3/4'
'-x+1/2,y,-z+1/2'
'x+1/2,-y,z+1/2'
'y+1/4,x+3/4,-z+1/4'
'-y+1/4,-x+3/4,z+1/4'
'x+1/2,y+1/2,z+1/2'
'-x+1/2,-y+1/2,-z+1/2'
'-y+3/4,x+1/4,z+3/4'
'y+3/4,-x+1/4,-z+3/4'
'-x,-y+1/2,z'
'x,y+1/2,-z'
'y+3/4,-x+3/4,z+1/4'
'-y+3/4,x+3/4,-z+1/4'
'x+1/2,-y+1/2,-z+1/2'
'-x+1/2,y+1/2,z+1/2'
'-y+3/4,-x+3/4,-z+1/4'
'y+3/4,x+3/4,z+1/4'
'-x,y+1/2,-z'
'x,-y+1/2,z'
'y+3/4,x+1/4,-z+3/4'
'-y+3/4,-x+1/4,z+3/4'
loop_
_atom_site_label
_atom_site_fract_x
_atom_site_fract_y
_atom_site_fract_z
Rb1 0.000 0.250 0.375
In1 0.000 0.250 0.875
Ni1 0.000 0.000 0.000
```

Output
- V: 441 Å³ per cell
- ΔE_f: 471 meV per atom

A plane-wave DFT calculation with PBE was carried out for RePd3Pt2 after structural relaxation.

CIF file:
```
data_RePd3Pt2
_cell_length_a 7.923
_cell_length_b 2.777
_cell_length_c 8.314
_cell_angle_alpha 90.00
_cell_angle_beta 90.20
_cell_angle_gamma 90.00
_symmetry_space_group_name_H-M 'P 1 21/m 1'
_symmetry_Int_Tables_number 11
_symmetry_space_group_name_Hall '-P 2yb'
loop_
_atom_site_label
_atom_site_fract_x
_atom_site_fract_y
_atom_site_fract_z
Re1 0.124 0.250 0.249
Pd1 0.118 0.250 0.584
Pd2 0.369 0.750 0.085
Pd3 0.375 0.750 0.750
Pt1 0.120 0.250 0.916
Pt2 0.366 0.750 0.413
```

Output
- V: 183 Å³ per cell
- ΔE_f: -50 meV per atom

A plane-wave DFT calculation with PBE was carried out for Ca3TlSb2Pd9 after structural relaxation.

CIF file:
```
data_Ca3TlSb2Pd9
_cell_length_a 6.7574
_cell_length_b 6.7574
_cell_length_c 9.6350
_cell_angle_alpha 90.00
_cell_angle_beta 90.00
_cell_angle_gamma 120.00
_symmetry_space_group_name_H-M 'P -3 m 1'
_symmetry_Int_Tables_number 164
_symmetry_space_group_name_Hall '-P 3 2"'
loop_
_atom_site_label
_atom_site_fract_x
_atom_site_fract_y
_atom_site_fract_z
Ca1 0.0000 0.0000 0.0000
Ca2 0.3333 0.6667 0.7534
Tl1 0.0000 0.0000 0.5000
Sb1 0.3333 0.6667 0.1816
Pd1 0.0000 0.5000 0.0000
Pd2 0.1321 0.2642 0.2638
```

Output
- Uncorrected formation energy: -0.388 eV per atom
- V: 381 Å³ per cell

A plane-wave DFT calculation with PBE was carried out for MgMoOs2C after structural relaxation.

CIF file:
```
data_MgMoOs2C
_cell_length_a 4.028
_cell_length_b 4.028
_cell_length_c 4.268
_cell_angle_alpha 90.00
_cell_angle_beta 90.00
_cell_angle_gamma 90.00
_symmetry_space_group_name_H-M 'P 4/m m m'
_symmetry_Int_Tables_number 123
_symmetry_space_group_name_Hall '-P 4 2'
loop_
_atom_site_label
_atom_site_fract_x
_atom_site_fract_y
_atom_site_fract_z
Mg1 0.000 0.000 0.000
Mo1 0.500 0.500 0.000
Os1 0.000 0.500 0.500
C1 0.000 0.000 0.500
```

Output
- V: 69 Å³ per cell
- ΔE_f: 530 meV per atom

A plane-wave DFT calculation with PBE was carried out for AcPaZn after structural relaxation.

CIF file:
```
data_AcPaZn
_cell_length_a 3.658
_cell_length_b 3.658
_cell_length_c 12.796
_cell_angle_alpha 90.00
_cell_angle_beta 90.00
_cell_angle_gamma 90.00
_symmetry_space_group_name_H-M 'I 4 m m'
_symmetry_Int_Tables_number 107
_symmetry_space_group_name_Hall 'I 4 -2'
loop_
_atom_site_label
_atom_site_fract_x
_atom_site_fract_y
_atom_site_fract_z
Ac1 0.000 0.000 0.000
Pa1 0.000 0.000 0.295
Zn1 0.000 0.000 0.668
```

Output
- V: 171 Å³ per cell
- ΔE to the lowest computed polymorph: 0.00 eV per formula unit
- ΔE_f: 217 meV per atom

A plane-wave DFT calculation with PBE was carried out for Pr3SiTe2 after structural relaxation.

CIF file:
```
data_Pr3SiTe2
_cell_length_a 7.710
_cell_length_b 13.353
_cell_length_c 7.822
_cell_angle_alpha 90.00
_cell_angle_beta 109.16
_cell_angle_gamma 90.00
_symmetry_space_group_name_H-M 'C 1 2/m 1'
_symmetry_Int_Tables_number 12
_symmetry_space_group_name_Hall '-C 2y'
loop_
_atom_site_label
_atom_site_fract_x
_atom_site_fract_y
_atom_site_fract_z
Pr1 0.223 0.000 0.225
Pr2 0.248 0.176 0.771
Si1 0.000 0.168 0.000
Te1 0.000 0.000 0.500
Te2 0.000 0.339 0.500
Te3 0.000 0.500 0.000
```

Output
- Uncorrected formation energy: -1.275 eV per atom
- V: 761 Å³ per cell
- ΔE to the lowest computed polymorph: 0.00 eV per formula unit

Number 1: Fermi-level density of states 0.770 states/eV/atom. Number 2: Fermi-level density of states 1.074 states/eV/atom. Number 3: Fermi-level density of states 0.531 states/eV/atom. Number 4: Fermi-level density of states 1.113 states/eV/atom. Number 5: Fermi-level density of states 1.729 states/eV/atom. Number 6: Fermi-level density of states 0.274 states/eV/atom.